Record 1
A geometry-optimized ZnIrRh2 structure. Source: Alexandria via LeMat-Bulk, functional PBE.

Lattice parameters (Å, degrees): 2.737 4.707 8.999 90.00 90.00 90.00
Space group Cmm2 (No. 35)
Symmetry-distinct sites (fractional):
Zn  0.000  0.000  0.000 [2 per cell]
Ir  0.000  0.500  0.247 [2 per cell]
Rh  0.000  0.000  0.503 [2 per cell]
Rh  0.000  0.500  0.759 [2 per cell]

Values from the calculation:
- energy of formation from the pure elements (meV/atom) = 67
- N(E_F) (states/eV/cell) = 10.45
- uncorrected energy (eV/atom) = -6.142

Record 2
A geometry-optimized ZnIrRh2 structure. Source: Alexandria via LeMat-Bulk, functional PBE.

Lattice parameters (Å, degrees): 3.892 3.892 3.762 90.00 90.00 90.00
Space group P4/mmm (No. 123)
Symmetry-distinct sites (fractional):
Zn  0.000  0.000  0.000 [1 per cell]
Ir  0.500  0.500  0.000 [1 per cell]
Rh  0.000  0.500  0.500 [2 per cell]

Values from the calculation:
- energy of formation from the pure elements (meV/atom) = -48
- N(E_F) (states/eV/cell) = 4.82
- uncorrected energy (eV/atom) = -6.258

Record 3
A geometry-optimized ZnIrRh2 structure. Source: Alexandria via LeMat-Bulk, functional PBE.

Lattice parameters (Å, degrees): 2.762 2.762 7.439 90.00 90.00 90.00
Space group P4mm (No. 99)
Symmetry-distinct sites (fractional):
Zn  0.000  0.000  0.000 [1 per cell]
Ir  0.500  0.500  0.254 [1 per cell]
Rh  0.000  0.000  0.501 [1 per cell]
Rh  0.500  0.500  0.753 [1 per cell]

Values from the calculation:
- energy of formation from the pure elements (meV/atom) = -92
- N(E_F) (states/eV/cell) = 3.73
- uncorrected energy (eV/atom) = -6.302

Record 4
A geometry-optimized ZnIrRh2 structure. Source: Alexandria via LeMat-Bulk, functional PBE.

Lattice parameters (Å, degrees): 8.992 2.743 4.678 90.00 100.17 90.00
Space group Cm (No. 8)
Symmetry-distinct sites (fractional):
Zn  0.000  0.000  0.000 [2 per cell]
Ir  0.253  0.500  0.273 [2 per cell]
Rh  0.248  0.000  0.770 [2 per cell]
Rh  0.499  0.000  0.498 [2 per cell]

Values from the calculation:
- energy of formation from the pure elements (meV/atom) = -139
- N(E_F) (states/eV/cell) = 8.00
- uncorrected energy (eV/atom) = -6.349

Record 5
A geometry-optimized ZnIrRh2 structure. Source: Alexandria via LeMat-Bulk, functional PBE.

Lattice parameters (Å, degrees): 2.761 2.761 7.434 90.00 90.00 90.00
Space group P4/mmm (No. 123)
Symmetry-distinct sites (fractional):
Zn  0.000  0.000  0.000 [1 per cell]
Ir  0.000  0.000  0.500 [1 per cell]
Rh  0.500  0.500  0.250 [2 per cell]

Values from the calculation:
- energy of formation from the pure elements (meV/atom) = -156
- N(E_F) (states/eV/cell) = 4.64
- uncorrected energy (eV/atom) = -6.365

Record 6
A geometry-optimized ZnIr3Rh structure. Source: Alexandria via LeMat-Bulk, functional PBE.

Lattice parameters (Å, degrees): 4.713 4.713 4.713 90.00 90.00 90.00
Space group Pm-3m (No. 221)
Symmetry-distinct sites (fractional):
Zn  0.000  0.000  0.000 [1 per cell]
Ir  0.000  0.500  0.500 [3 per cell]
Rh  0.500  0.500  0.500 [1 per cell]

Values from the calculation:
- energy of formation from the pure elements (meV/atom) = 1894
- N(E_F) (states/eV/cell) = 9.78
- distance to the lowest polymorph of the same formula (meV/atom) = 180
- uncorrected energy (eV/atom) = -5.147

Record 7
A geometry-optimized ZnIrRh2 structure. Source: Alexandria via LeMat-Bulk, functional PBE.

Lattice parameters (Å, degrees): 2.823 4.548 8.894 90.00 90.00 90.00
Space group Immm (No. 71)
Symmetry-distinct sites (fractional):
Zn  0.000  0.000  0.000 [2 per cell]
Ir  0.000  0.000  0.500 [2 per cell]
Rh  0.000  0.500  0.255 [4 per cell]

Values from the calculation:
- energy of formation from the pure elements (meV/atom) = 27
- N(E_F) (states/eV/cell) = 10.38
- uncorrected energy (eV/atom) = -6.183

Record 8
A geometry-optimized Zn5IrRh structure. Source: Alexandria via LeMat-Bulk, functional PBE.

Lattice parameters (Å, degrees): 10.736 7.546 8.797 90.00 122.85 90.00
Space group C2/c (No. 15)
Symmetry-distinct sites (fractional):
Zn  0.000  0.122  0.250 [4 per cell]
Zn  0.016  0.327  0.972 [8 per cell]
Zn  0.244  0.418  0.894 [8 per cell]
Ir  0.000  0.000  0.000 [4 per cell]
Rh  0.000  0.450  0.250 [4 per cell]

Values from the calculation:
- energy of formation from the pure elements (meV/atom) = 193
- N(E_F) (states/eV/cell) = 6.79
- distance to the lowest polymorph of the same formula (meV/atom) = 329
- uncorrected energy (eV/atom) = -3.033

Record 9
A geometry-optimized ZnIrRh structure. Source: Alexandria via LeMat-Bulk, functional PBE.

Lattice parameters (Å, degrees): 2.768 3.846 8.036 90.00 90.00 90.00
Space group Imm2 (No. 44)
Symmetry-distinct sites (fractional):
Zn  0.000  0.000  0.000 [2 per cell]
Ir  0.000  0.000  0.667 [2 per cell]
Rh  0.000  0.000  0.332 [2 per cell]

Values from the calculation:
- energy of formation from the pure elements (meV/atom) = -65
- N(E_F) (states/eV/cell) = 7.87
- distance to the lowest polymorph of the same formula (meV/atom) = 59
- uncorrected energy (eV/atom) = -5.894

Record 10
A geometry-optimized Zn2Ir5Rh4 structure. Source: Alexandria via LeMat-Bulk, functional PBE.

Lattice parameters (Å, degrees): 14.203 2.735 8.122 90.00 93.94 90.00
Space group C2/m (No. 12)
Symmetry-distinct sites (fractional):
Zn  0.089  0.000  0.455 [4 per cell]
Ir  0.000  0.000  0.000 [2 per cell]
Ir  0.136  0.500  0.180 [4 per cell]
Ir  0.231  0.500  0.637 [4 per cell]
Rh  0.045  0.500  0.726 [4 per cell]
Rh  0.182  0.000  0.906 [4 per cell]

Values from the calculation:
- energy of formation from the pure elements (meV/atom) = -67
- N(E_F) (states/eV/cell) = 23.91
- uncorrected energy (eV/atom) = -7.000

Record 11
A geometry-optimized ZnIrRh2 structure. Source: Alexandria via LeMat-Bulk, functional PBE.

Lattice parameters (Å, degrees): 6.130 6.130 6.130 90.00 90.00 90.00
Space group F-43m (No. 216)
Symmetry-distinct sites (fractional):
Zn  0.000  0.000  0.000 [4 per cell]
Ir  0.250  0.250  0.750 [4 per cell]
Rh  0.000  0.000  0.500 [4 per cell]
Rh  0.250  0.250  0.250 [4 per cell]

Values from the calculation:
- energy of formation from the pure elements (meV/atom) = 101
- N(E_F) (states/eV/cell) = 28.04
- uncorrected energy (eV/atom) = -6.108

Record 12
A geometry-optimized ZnIrRh4 structure. Source: Alexandria via LeMat-Bulk, functional PBE.

Lattice parameters (Å, degrees): 9.045 9.184 2.667 90.00 90.00 90.00
Space group Cmmm (No. 65)
Symmetry-distinct sites (fractional):
Zn  0.000  0.000  0.000 [2 per cell]
Ir  0.000  0.500  0.500 [2 per cell]
Rh  0.000  0.263  0.000 [4 per cell]
Rh  0.233  0.000  0.500 [4 per cell]

Values from the calculation:
- energy of formation from the pure elements (meV/atom) = 898
- N(E_F) (states/eV/cell) = 22.65
- distance to the lowest polymorph of the same formula (meV/atom) = 977
- uncorrected energy (eV/atom) = -5.693

Question: uncorrected energy of number 3 (ZnIrRh2)?
Answer: -6.302 eV/atom

Question: What is the formula in the seventh record?
Answer: ZnIrRh2

Question: energy of formation from the pure elements of number 9 (ZnIrRh)?
Answer: -65 meV/atom